# PBE YGePb2, optimized geometry
data_YGePb2
_chemical_formula_sum 'Y1 Ge1 Pb2'
_cell_length_a 4.621
_cell_length_b 4.621
_cell_length_c 4.948
_cell_angle_alpha 90.00
_cell_angle_beta 90.00
_cell_angle_gamma 90.00
_symmetry_space_group_name_H-M 'P 4/m m m'
_symmetry_Int_Tables_number 123
_symmetry_space_group_name_Hall '-P 4 2'
loop_
_atom_site_label
_atom_site_fract_x
_atom_site_fract_y
_atom_site_fract_z
Y1 0.000 0.000 0.000
Ge1 0.500 0.500 0.000
Pb1 0.000 0.500 0.500
# - ΔE_f (kcal/mol of atoms) = -6.1


# PBE Li2Pr3Tl4, optimized geometry
data_Li2Pr3Tl4
_chemical_formula_sum 'Li8 Pr12 Tl16'
_cell_length_a 10.973
_cell_length_b 10.985
_cell_length_c 8.533
_cell_angle_alpha 90.00
_cell_angle_beta 103.58
_cell_angle_gamma 90.00
_symmetry_space_group_name_H-M 'C 1 2/c 1'
_symmetry_Int_Tables_number 15
loop_
_symmetry_equiv_pos_as_xyz
'x,y,z'
'-x,-y,-z'
'-x,y,-z+1/2'
'x,-y,z+1/2'
'x+1/2,y+1/2,z'
'-x+1/2,-y+1/2,-z'
'-x+1/2,y+1/2,-z+1/2'
'x+1/2,-y+1/2,z+1/2'
loop_
_atom_site_label
_atom_site_fract_x
_atom_site_fract_y
_atom_site_fract_z
Li1 0.087 0.114 0.401
Pr1 0.000 0.176 0.750
Pr2 0.147 0.368 0.146
Tl1 0.151 0.347 0.541
Tl2 0.176 0.072 0.112
# - E above lowest polymorph (kJ per mole of atoms) = 7.5
# - ΔE_f (kcal/mol of atoms) = -6.0


# PBE SmEr2InN, optimized geometry
data_SmEr2InN
_chemical_formula_sum 'Sm1 Er2 In1 N1'
_cell_length_a 4.777
_cell_length_b 4.777
_cell_length_c 4.947
_cell_angle_alpha 90.00
_cell_angle_beta 90.00
_cell_angle_gamma 90.00
_symmetry_space_group_name_H-M 'P 4/m m m'
_symmetry_Int_Tables_number 123
_symmetry_space_group_name_Hall '-P 4 2'
loop_
_atom_site_label
_atom_site_fract_x
_atom_site_fract_y
_atom_site_fract_z
Sm1 0.000 0.000 0.000
Er1 0.000 0.500 0.500
In1 0.500 0.500 0.000
N1 0.000 0.000 0.500
# - VASP energy (eV/cell) = -29.78


# PBE TlAgSn, optimized geometry
data_TlAgSn
_chemical_formula_sum 'Tl2 Ag2 Sn2'
_cell_length_a 3.668
_cell_length_b 6.235
_cell_length_c 7.022
_cell_angle_alpha 90.00
_cell_angle_beta 104.95
_cell_angle_gamma 90.00
_symmetry_space_group_name_H-M 'P 1 21 1'
_symmetry_Int_Tables_number 4
loop_
_symmetry_equiv_pos_as_xyz
'x,y,z'
'-x,y+1/2,-z'
loop_
_atom_site_label
_atom_site_fract_x
_atom_site_fract_y
_atom_site_fract_z
Tl1 0.190 0.000 0.381
Ag1 0.130 0.501 0.260
Sn1 0.500 0.251 0.001
# - E above lowest polymorph (kJ per mole of atoms) = 5.2
# - ΔE_f (kcal/mol of atoms) = 2.0


# PBE LaY2Cl, optimized geometry
data_LaY2Cl
_chemical_formula_sum 'La2 Y4 Cl2'
_cell_length_a 6.425
_cell_length_b 12.746
_cell_length_c 3.663
_cell_angle_alpha 90.00
_cell_angle_beta 123.75
_cell_angle_gamma 90.00
_symmetry_space_group_name_H-M 'C 1 2/m 1'
_symmetry_Int_Tables_number 12
loop_
_symmetry_equiv_pos_as_xyz
'x,y,z'
'-x,-y,-z'
'-x,y,-z'
'x,-y,z'
'x+1/2,y+1/2,z'
'-x+1/2,-y+1/2,-z'
'-x+1/2,y+1/2,-z'
'x+1/2,-y+1/2,z'
loop_
_atom_site_label
_atom_site_fract_x
_atom_site_fract_y
_atom_site_fract_z
La1 0.000 0.000 0.000
Y1 0.250 0.250 0.500
Cl1 0.000 0.500 0.000
# - E above lowest polymorph (kJ per mole of atoms) = 39.9


# PBE LiTlC2, optimized geometry
data_LiTlC2
_chemical_formula_sum 'Li4 Tl4 C8'
_cell_length_a 6.258
_cell_length_b 6.258
_cell_length_c 5.557
_cell_angle_alpha 90.00
_cell_angle_beta 90.00
_cell_angle_gamma 90.00
_symmetry_space_group_name_H-M 'I -4 2 d'
_symmetry_Int_Tables_number 122
_symmetry_space_group_name_Hall 'I -4 2bw'
loop_
_atom_site_label
_atom_site_fract_x
_atom_site_fract_y
_atom_site_fract_z
Li1 0.000 0.000 0.000
Tl1 0.000 0.000 0.500
C1 0.247 0.750 0.125
# - E above lowest polymorph (kJ per mole of atoms) = 10.5
# - ΔE_f (kcal/mol of atoms) = 48.8


# PBE LaTi2Cr, optimized geometry
data_LaTi2Cr
_chemical_formula_sum 'La4 Ti8 Cr4'
_cell_length_a 6.771
_cell_length_b 6.771
_cell_length_c 9.592
_cell_angle_alpha 90.00
_cell_angle_beta 90.00
_cell_angle_gamma 90.00
_symmetry_space_group_name_H-M 'I 41/a m d'
_symmetry_Int_Tables_number 141
loop_
_symmetry_equiv_pos_as_xyz
'x,y,z'
'-x,-y,-z'
'-y+1/4,x+3/4,z+1/4'
'y+1/4,-x+3/4,-z+1/4'
'-x+1/2,-y,z+1/2'
'x+1/2,y,-z+1/2'
'y+1/4,-x+1/4,z+3/4'
'-y+1/4,x+1/4,-z+3/4'
'x,-y,-z'
'-x,y,z'
'-y+1/4,-x+1/4,-z+3/4'
'y+1/4,x+1/4,z+3/4'
'-x+1/2,y,-z+1/2'
'x+1/2,-y,z+1/2'
'y+1/4,x+3/4,-z+1/4'
'-y+1/4,-x+3/4,z+1/4'
'x+1/2,y+1/2,z+1/2'
'-x+1/2,-y+1/2,-z+1/2'
'-y+3/4,x+1/4,z+3/4'
'y+3/4,-x+1/4,-z+3/4'
'-x,-y+1/2,z'
'x,y+1/2,-z'
'y+3/4,-x+3/4,z+1/4'
'-y+3/4,x+3/4,-z+1/4'
'x+1/2,-y+1/2,-z+1/2'
'-x+1/2,y+1/2,z+1/2'
'-y+3/4,-x+3/4,-z+1/4'
'y+3/4,x+3/4,z+1/4'
'-x,y+1/2,-z'
'x,-y+1/2,z'
'y+3/4,x+1/4,-z+3/4'
'-y+3/4,-x+1/4,z+3/4'
loop_
_atom_site_label
_atom_site_fract_x
_atom_site_fract_y
_atom_site_fract_z
La1 0.000 0.250 0.375
Ti1 0.000 0.000 0.000
Cr1 0.000 0.250 0.875
# - E above lowest polymorph (kJ per mole of atoms) = 47.7
# - ΔE_f (kcal/mol of atoms) = 23.4


# PBE Rb2Ni3S4, optimized geometry
data_Rb2Ni3S4
_chemical_formula_sum 'Rb8 Ni12 S16'
_cell_length_a 5.925
_cell_length_b 10.009
_cell_length_c 14.024
_cell_angle_alpha 90.00
_cell_angle_beta 90.00
_cell_angle_gamma 90.00
_symmetry_space_group_name_H-M 'F m m m'
_symmetry_Int_Tables_number 69
_symmetry_space_group_name_Hall '-F 2 2'
loop_
_atom_site_label
_atom_site_fract_x
_atom_site_fract_y
_atom_site_fract_z
Rb1 0.000 0.000 0.158
Ni1 0.000 0.000 0.500
Ni2 0.250 0.250 0.000
S1 0.000 0.168 0.398
# - VASP energy (eV/cell) = -169.28


# PBE MgNbCd2P, optimized geometry
data_MgNbCd2P
_chemical_formula_sum 'Mg1 Nb1 Cd2 P1'
_cell_length_a 4.916
_cell_length_b 4.916
_cell_length_c 5.140
_cell_angle_alpha 90.00
_cell_angle_beta 90.00
_cell_angle_gamma 90.00
_symmetry_space_group_name_H-M 'P 4/m m m'
_symmetry_Int_Tables_number 123
_symmetry_space_group_name_Hall '-P 4 2'
loop_
_atom_site_label
_atom_site_fract_x
_atom_site_fract_y
_atom_site_fract_z
Mg1 0.000 0.000 0.000
Nb1 0.000 0.000 0.500
Cd1 0.000 0.500 0.000
P1 0.500 0.500 0.500
# - ΔE_f (kcal/mol of atoms) = 30.0


# PBE HoTh3Sc6, optimized geometry
data_HoTh3Sc6
_chemical_formula_sum 'Ho4 Th12 Sc24'
_cell_length_a 9.371
_cell_length_b 19.653
_cell_length_c 6.027
_cell_angle_alpha 90.00
_cell_angle_beta 90.00
_cell_angle_gamma 90.00
_symmetry_space_group_name_H-M 'C m c 21'
_symmetry_Int_Tables_number 36
loop_
_symmetry_equiv_pos_as_xyz
'x,y,z'
'-x,-y,z+1/2'
'-x,y,z'
'x,-y,z+1/2'
'x+1/2,y+1/2,z'
'-x+1/2,-y+1/2,z+1/2'
'-x+1/2,y+1/2,z'
'x+1/2,-y+1/2,z+1/2'
loop_
_atom_site_label
_atom_site_fract_x
_atom_site_fract_y
_atom_site_fract_z
Ho1 0.000 0.157 0.000
Th1 0.000 0.430 0.079
Th2 0.179 0.123 0.482
Sc1 0.000 0.002 0.745
Sc2 0.000 0.304 0.767
Sc3 0.172 0.278 0.309
Sc4 0.190 0.434 0.523
# - E above lowest polymorph (kJ per mole of atoms) = 5.8
# - ΔE_f (kcal/mol of atoms) = 3.5


# PBE ErSiPt5, optimized geometry
data_ErSiPt5
_chemical_formula_sum 'Er1 Si1 Pt5'
_cell_length_a 4.031
_cell_length_b 4.031
_cell_length_c 7.164
_cell_angle_alpha 90.00
_cell_angle_beta 90.00
_cell_angle_gamma 90.00
_symmetry_space_group_name_H-M 'P 4/m m m'
_symmetry_Int_Tables_number 123
_symmetry_space_group_name_Hall '-P 4 2'
loop_
_atom_site_label
_atom_site_fract_x
_atom_site_fract_y
_atom_site_fract_z
Er1 0.000 0.000 0.000
Si1 0.500 0.500 0.500
Pt1 0.000 0.500 0.297
Pt2 0.500 0.500 0.000
# - VASP energy (eV/cell) = -46.91


# PBE Sr2LaCd2, optimized geometry
data_Sr2LaCd2
_chemical_formula_sum 'Sr4 La2 Cd4'
_cell_length_a 5.157
_cell_length_b 5.157
_cell_length_c 14.111
_cell_angle_alpha 90.00
_cell_angle_beta 90.00
_cell_angle_gamma 90.00
_symmetry_space_group_name_H-M 'I 4/m m m'
_symmetry_Int_Tables_number 139
_symmetry_space_group_name_Hall '-I 4 2'
loop_
_atom_site_label
_atom_site_fract_x
_atom_site_fract_y
_atom_site_fract_z
Sr1 0.000 0.500 0.250
La1 0.000 0.000 0.000
Cd1 0.000 0.000 0.403
# - E above lowest polymorph (kJ per mole of atoms) = 22.0
# - ΔE_f (kcal/mol of atoms) = -0.1


# PBE LiTa2Tl, optimized geometry
data_LiTa2Tl
_chemical_formula_sum 'Li2 Ta4 Tl2'
_cell_length_a 3.132
_cell_length_b 5.050
_cell_length_c 9.404
_cell_angle_alpha 90.00
_cell_angle_beta 90.00
_cell_angle_gamma 90.00
_symmetry_space_group_name_H-M 'I m m 2'
_symmetry_Int_Tables_number 44
loop_
_symmetry_equiv_pos_as_xyz
'x,y,z'
'-x,-y,z'
'-x,y,z'
'x,-y,z'
'x+1/2,y+1/2,z+1/2'
'-x+1/2,-y+1/2,z+1/2'
'-x+1/2,y+1/2,z+1/2'
'x+1/2,-y+1/2,z+1/2'
loop_
_atom_site_label
_atom_site_fract_x
_atom_site_fract_y
_atom_site_fract_z
Li1 0.000 0.000 0.000
Ta1 0.000 0.000 0.506
Ta2 0.000 0.500 0.244
Tl1 0.000 0.500 0.729
# - ΔE_f (kcal/mol of atoms) = 11.3


# PBE GdCd2Ag, optimized geometry
data_GdCd2Ag
_chemical_formula_sum 'Gd1 Cd2 Ag1'
_cell_length_a 3.478
_cell_length_b 3.478
_cell_length_c 7.614
_cell_angle_alpha 90.00
_cell_angle_beta 90.00
_cell_angle_gamma 90.00
_symmetry_space_group_name_H-M 'P 4/m m m'
_symmetry_Int_Tables_number 123
_symmetry_space_group_name_Hall '-P 4 2'
loop_
_atom_site_label
_atom_site_fract_x
_atom_site_fract_y
_atom_site_fract_z
Gd1 0.000 0.000 0.000
Cd1 0.500 0.500 0.285
Ag1 0.000 0.000 0.500
# - ΔE_f (kcal/mol of atoms) = -4.7


# PBE Pr2DySc3, optimized geometry
data_Pr2DySc3
_chemical_formula_sum 'Pr4 Dy2 Sc6'
_cell_length_a 6.7061
_cell_length_b 6.7061
_cell_length_c 9.3513
_cell_angle_alpha 90.00
_cell_angle_beta 90.00
_cell_angle_gamma 120.00
_symmetry_space_group_name_H-M 'P -3 m 1'
_symmetry_Int_Tables_number 164
_symmetry_space_group_name_Hall '-P 3 2"'
loop_
_atom_site_label
_atom_site_fract_x
_atom_site_fract_y
_atom_site_fract_z
Pr1 0.0000 0.0000 0.0000
Pr2 0.0000 0.0000 0.5000
Pr3 0.3333 0.6667 0.0611
Dy1 0.3333 0.6667 0.4212
Sc1 0.1876 0.3752 0.7377
# - ΔE_f (kcal/mol of atoms) = 6.2


# PBE Al2ZnPb, optimized geometry
data_Al2ZnPb
_chemical_formula_sum 'Al4 Zn2 Pb2'
_cell_length_a 3.251
_cell_length_b 5.296
_cell_length_c 9.909
_cell_angle_alpha 90.00
_cell_angle_beta 90.00
_cell_angle_gamma 90.00
_symmetry_space_group_name_H-M 'I m m 2'
_symmetry_Int_Tables_number 44
loop_
_symmetry_equiv_pos_as_xyz
'x,y,z'
'-x,-y,z'
'-x,y,z'
'x,-y,z'
'x+1/2,y+1/2,z+1/2'
'-x+1/2,-y+1/2,z+1/2'
'-x+1/2,y+1/2,z+1/2'
'x+1/2,-y+1/2,z+1/2'
loop_
_atom_site_label
_atom_site_fract_x
_atom_site_fract_y
_atom_site_fract_z
Al1 0.000 0.000 0.000
Al2 0.000 0.500 0.267
Zn1 0.000 0.000 0.549
Pb1 0.000 0.500 0.780
# - E above lowest polymorph (kJ per mole of atoms) = 8.3
# - ΔE_f (kcal/mol of atoms) = 6.1


# PBE LiPuAsO5, optimized geometry
data_LiPuAsO5
_chemical_formula_sum 'Li4 Pu4 As4 O20'
_cell_length_a 8.250
_cell_length_b 8.619
_cell_length_c 7.900
_cell_angle_alpha 90.00
_cell_angle_beta 118.87
_cell_angle_gamma 90.00
_symmetry_space_group_name_H-M 'C 1 2/c 1'
_symmetry_Int_Tables_number 15
loop_
_symmetry_equiv_pos_as_xyz
'x,y,z'
'-x,-y,-z'
'-x,y,-z+1/2'
'x,-y,z+1/2'
'x+1/2,y+1/2,z'
'-x+1/2,-y+1/2,-z'
'-x+1/2,y+1/2,-z+1/2'
'x+1/2,-y+1/2,z+1/2'
loop_
_atom_site_label
_atom_site_fract_x
_atom_site_fract_y
_atom_site_fract_z
Li1 0.000 0.184 0.250
Pu1 0.000 0.500 0.000
As1 0.000 0.131 0.750
O1 0.000 0.413 0.250
O2 0.003 0.244 0.572
O3 0.182 0.000 0.344
# - VASP energy (eV/cell) = -250.28


# PBE Ho6Tl3Ir, optimized geometry
data_Ho6Tl3Ir
_chemical_formula_sum 'Ho12 Tl6 Ir2'
_cell_length_a 11.486
_cell_length_b 7.150
_cell_length_c 7.386
_cell_angle_alpha 90.00
_cell_angle_beta 103.12
_cell_angle_gamma 90.00
_symmetry_space_group_name_H-M 'C 1 2/m 1'
_symmetry_Int_Tables_number 12
loop_
_symmetry_equiv_pos_as_xyz
'x,y,z'
'-x,-y,-z'
'-x,y,-z'
'x,-y,z'
'x+1/2,y+1/2,z'
'-x+1/2,-y+1/2,-z'
'-x+1/2,y+1/2,-z'
'x+1/2,-y+1/2,z'
loop_
_atom_site_label
_atom_site_fract_x
_atom_site_fract_y
_atom_site_fract_z
Ho1 0.111 0.247 0.341
Ho2 0.165 0.500 0.850
Tl1 0.000 0.000 0.000
Tl2 0.172 0.000 0.727
Ir1 0.000 0.500 0.500
# - ΔE_f (kcal/mol of atoms) = -6.3


# PBE PuGaSn4, optimized geometry
data_PuGaSn4
_chemical_formula_sum 'Pu4 Ga4 Sn16'
_cell_length_a 8.666
_cell_length_b 8.666
_cell_length_c 8.666
_cell_angle_alpha 90.00
_cell_angle_beta 90.00
_cell_angle_gamma 90.00
_symmetry_space_group_name_H-M 'F -4 3 m'
_symmetry_Int_Tables_number 216
_symmetry_space_group_name_Hall 'F -4 2 3'
loop_
_atom_site_label
_atom_site_fract_x
_atom_site_fract_y
_atom_site_fract_z
Pu1 0.000 0.000 0.000
Ga1 0.250 0.250 0.250
Sn1 0.125 0.125 0.625
# - ΔE_f (kcal/mol of atoms) = 0.1


# PBE AcCeSiP, optimized geometry
data_AcCeSiP
_chemical_formula_sum 'Ac4 Ce4 Si4 P4'
_cell_length_a 7.359
_cell_length_b 7.359
_cell_length_c 7.359
_cell_angle_alpha 90.00
_cell_angle_beta 90.00
_cell_angle_gamma 90.00
_symmetry_space_group_name_H-M 'F -4 3 m'
_symmetry_Int_Tables_number 216
_symmetry_space_group_name_Hall 'F -4 2 3'
loop_
_atom_site_label
_atom_site_fract_x
_atom_site_fract_y
_atom_site_fract_z
Ac1 0.000 0.000 0.000
Ce1 0.000 0.000 0.500
Si1 0.250 0.250 0.250
P1 0.250 0.250 0.750
# - VASP energy (eV/cell) = -93.58


# PBE Hg3GePb, optimized geometry
data_Hg3GePb
_chemical_formula_sum 'Hg3 Ge1 Pb1'
_cell_length_a 5.331
_cell_length_b 5.331
_cell_length_c 5.331
_cell_angle_alpha 90.00
_cell_angle_beta 90.00
_cell_angle_gamma 90.00
_symmetry_space_group_name_H-M 'P m -3 m'
_symmetry_Int_Tables_number 221
_symmetry_space_group_name_Hall '-P 4 2 3'
loop_
_atom_site_label
_atom_site_fract_x
_atom_site_fract_y
_atom_site_fract_z
Hg1 0.000 0.000 0.500
Ge1 0.000 0.000 0.000
Pb1 0.500 0.500 0.500
# - E above lowest polymorph (kJ per mole of atoms) = 0.0
# - ΔE_f (kcal/mol of atoms) = 7.0


# PBE DyGa3Ag, optimized geometry
data_DyGa3Ag
_chemical_formula_sum 'Dy4 Ga12 Ag4'
_cell_length_a 4.164
_cell_length_b 24.156
_cell_length_c 4.115
_cell_angle_alpha 90.00
_cell_angle_beta 90.00
_cell_angle_gamma 90.00
_symmetry_space_group_name_H-M 'C m m m'
_symmetry_Int_Tables_number 65
_symmetry_space_group_name_Hall '-C 2 2'
loop_
_atom_site_label
_atom_site_fract_x
_atom_site_fract_y
_atom_site_fract_z
Dy1 0.000 0.175 0.000
Ga1 0.000 0.052 0.500
Ga2 0.000 0.276 0.500
Ga3 0.000 0.449 0.000
Ag1 0.000 0.381 0.500
# - ΔE_f (kcal/mol of atoms) = -7.3


# PBE Pa2Tl3CoSe6, optimized geometry
data_Pa2Tl3CoSe6
_chemical_formula_sum 'Pa4 Tl6 Co2 Se12'
_cell_length_a 17.702
_cell_length_b 3.917
_cell_length_c 9.048
_cell_angle_alpha 90.00
_cell_angle_beta 92.59
_cell_angle_gamma 90.00
_symmetry_space_group_name_H-M 'C 1 2/m 1'
_symmetry_Int_Tables_number 12
loop_
_symmetry_equiv_pos_as_xyz
'x,y,z'
'-x,-y,-z'
'-x,y,-z'
'x,-y,z'
'x+1/2,y+1/2,z'
'-x+1/2,-y+1/2,-z'
'-x+1/2,y+1/2,-z'
'x+1/2,-y+1/2,z'
loop_
_atom_site_label
_atom_site_fract_x
_atom_site_fract_y
_atom_site_fract_z
Pa1 0.132 0.000 0.071
Tl1 0.000 0.500 0.500
Tl2 0.173 0.000 0.612
Co1 0.000 0.500 0.000
Se1 0.019 0.000 0.825
Se2 0.153 0.500 0.299
Se3 0.196 0.500 0.878
# - VASP energy (eV/cell) = -128.26


# PBE ErAlSb, optimized geometry
data_ErAlSb
_chemical_formula_sum 'Er6 Al6 Sb6'
_cell_length_a 6.1612
_cell_length_b 6.1612
_cell_length_c 14.5797
_cell_angle_alpha 90.00
_cell_angle_beta 90.00
_cell_angle_gamma 120.00
_symmetry_space_group_name_H-M 'P 62 2 2'
_symmetry_Int_Tables_number 180
_symmetry_space_group_name_Hall 'P 62 2 (0 0 4)'
loop_
_atom_site_label
_atom_site_fract_x
_atom_site_fract_y
_atom_site_fract_z
Er1 0.0000 0.5000 0.3598
Al1 0.2402 0.6201 0.1667
Sb1 0.0000 0.0000 0.1667
Sb2 0.0000 0.5000 0.6667
# - VASP energy (eV/cell) = -75.25


D(E_F) / states/eV per atom: 0.533; 0.635; 0.479; 0.383; 1.602; 0.874; 1.150; 0.000; 0.886; 1.527; 0.580; 1.422; 0.613; 0.723; 1.955; 0.514; 0.496; 0.851; 2.592; 1.509; 0.542; 0.466; 0.448; 0.696
Magnetic moment / μB/cell: 0.00; 0.00; 0.00; 0.00; 1.05; 0.00; 4.00; 0.00; 1.84; 0.00; 0.00; 3.93; 0.00; 7.51; 0.00; 0.00; 16.00; 0.00; 22.41; 0.72; 0.00; 0.00; 0.48; 0.00